[1]
Entry from Alexandria: a relaxed LaTmAlPb crystal (PBE).

SG = No. 216
E_form = -0.3464 eV/atom

Unit cell a=5.396 b=5.396 c=5.396 alpha=60.00 beta=60.00 gamma=60.00
Fractional positions:
Pb (0.250, 0.250, 0.250)
Tm (0.000, 0.000, 0.000)
Al (0.750, 0.750, 0.750)
La (0.500, 0.500, 0.500)



[2]
Entry from Alexandria: a relaxed Ba6Na2Cu crystal (PBE).

SG = No. 14
E_form = 0.0247 eV/atom

Unit cell a=8.624 b=8.624 c=13.218 alpha=90.00 beta=90.05 gamma=90.00
Fractional positions:
Ba (0.993, 0.000, 0.256)
Ba (0.695, 0.800, 0.503)
Ba (0.700, 0.805, 0.998)
Ba (0.800, 0.305, 0.502)
Ba (0.805, 0.300, 0.997)
Ba (0.507, 0.500, 0.244)
Ba (0.007, 0.000, 0.744)
Ba (0.305, 0.200, 0.497)
Ba (0.300, 0.195, 0.002)
Ba (0.200, 0.695, 0.498)
Ba (0.195, 0.700, 0.003)
Ba (0.493, 0.500, 0.756)
Na (0.997, 0.504, 0.750)
Na (0.503, 0.004, 0.750)
Na (0.497, 0.996, 0.250)
Na (0.003, 0.496, 0.250)
Cu (0.500, 0.500, 0.000)
Cu (0.000, 0.000, 0.500)



[3]
Entry from Alexandria: a relaxed CaTe2Pt crystal (PBE).

energy above the lowest structure with this stoichiometry = 0.1722 eV/atom
SG = No. 8
energy relative to the elements, uncorrected = -0.686 eV/atom

Unit cell a=6.353 b=6.353 c=4.182 alpha=89.76 beta=89.76 gamma=37.71
Fractional positions:
Ca (0.461, 0.461, 0.625)
Te (0.036, 0.036, 0.124)
Te (0.748, 0.748, 0.625)
Pt (0.256, 0.256, 0.126)



[4]
Entry from Alexandria: a relaxed B2TePbSe crystal (PBE).

energy above the lowest structure with this stoichiometry = 0.0057 eV/atom
SG = No. 123
energy relative to the elements, uncorrected = 1.457 eV/atom

Unit cell a=4.462 b=5.897 c=4.462 alpha=90.00 beta=90.00 gamma=90.00
Fractional positions:
Pb (0.500, 0.500, 0.500)
B (0.000, 0.000, 0.500)
B (0.500, 0.000, 0.000)
Te (0.000, 0.500, 0.000)
Se (0.000, 0.000, 0.000)



What are the N(E_F) values for these records? In order: 0.77, 1.00, 0.60, 0.42 states/eV/atom.